Entry 1:
# PBE V8Ge2W, relaxed
# Magnetization ... 0.0 μB/f.u.
# ΔH_f (0 K) ... -0.05 eV per atom
# E ... -8.70 eV per atom
data_V8Ge2W
_cell_length_a 13.246
_cell_length_b 4.977
_cell_length_c 4.781
_cell_angle_alpha 90.00
_cell_angle_beta 93.04
_cell_angle_gamma 90.00
_symmetry_space_group_name_H-M 'C 1 2/m 1'
_symmetry_Int_Tables_number 12
_symmetry_space_group_name_Hall '-C 2y'
loop_
_atom_site_label
_atom_site_fract_x
_atom_site_fract_y
_atom_site_fract_z
_atom_site_occupancy
V1 0.083 0.000 0.097 1
V2 0.091 0.248 0.595 1
V3 0.200 0.500 0.113 1
Ge1 0.242 0.000 0.368 1
W1 0.000 0.500 0.000 1


Entry 2:
# PBE V6Ge3W, relaxed
# Magnetization ... 0.0 μB/f.u.
# ΔH_f (0 K) ... 0.01 eV per atom
# E ... -8.14 eV per atom
data_V6Ge3W
_cell_length_a 8.470
_cell_length_b 12.149
_cell_length_c 5.851
_cell_angle_alpha 90.00
_cell_angle_beta 90.00
_cell_angle_gamma 90.00
_symmetry_space_group_name_H-M 'C m c 21'
_symmetry_Int_Tables_number 36
_symmetry_space_group_name_Hall 'C 2c -2'
loop_
_atom_site_label
_atom_site_fract_x
_atom_site_fract_y
_atom_site_fract_z
_atom_site_occupancy
V1 0.000 0.042 0.000 1
V2 0.000 0.274 0.182 1
V3 0.183 0.442 0.183 1
V4 0.238 0.209 0.970 1
Ge1 0.000 0.405 0.534 1
Ge2 0.171 0.108 0.334 1
W1 0.000 0.190 0.697 1


Entry 3:
# PBE V4Ge3W, relaxed
# Magnetization ... 0.0 μB/f.u.
# ΔH_f (0 K) ... -0.05 eV per atom
# E ... -7.96 eV per atom
data_V4Ge3W
_cell_length_a 8.469
_cell_length_b 5.232
_cell_length_c 5.203
_cell_angle_alpha 90.00
_cell_angle_beta 90.00
_cell_angle_gamma 90.00
_symmetry_space_group_name_H-M 'P m n 21'
_symmetry_Int_Tables_number 31
_symmetry_space_group_name_Hall 'P 2ac -2'
loop_
_atom_site_label
_atom_site_fract_x
_atom_site_fract_y
_atom_site_fract_z
_atom_site_occupancy
V1 0.000 0.007 0.000 1
V2 0.000 0.534 0.106 1
V3 0.246 0.221 0.802 1
Ge1 0.000 0.963 0.496 1
Ge2 0.242 0.282 0.312 1
W1 0.000 0.473 0.619 1


Entry 4:
# PBE V2GeW, relaxed
# Magnetization ... 0.0 μB/f.u.
# ΔH_f (0 K) ... -0.16 eV per atom
# E ... -9.11 eV per atom
data_V2GeW
_cell_length_a 3.223
_cell_length_b 3.223
_cell_length_c 5.533
_cell_angle_alpha 90.00
_cell_angle_beta 90.00
_cell_angle_gamma 90.00
_symmetry_space_group_name_H-M 'P 4/m m m'
_symmetry_Int_Tables_number 123
_symmetry_space_group_name_Hall '-P 4 2'
loop_
_atom_site_label
_atom_site_fract_x
_atom_site_fract_y
_atom_site_fract_z
_atom_site_occupancy
V1 0.000 0.000 0.242 1
Ge1 0.500 0.500 0.000 1
W1 0.500 0.500 0.500 1


Entry 5:
# PBE VGe3W, relaxed
# Magnetization ... 0.4 μB/f.u.
# Polymorph energy (0 for the lowest one) ... 0 meV/atom
# ΔH_f (0 K) ... 0.20 eV per atom
# E ... -6.99 eV per atom
data_VGe3W
_cell_length_a 9.503
_cell_length_b 9.548
_cell_length_c 7.688
_cell_angle_alpha 90.00
_cell_angle_beta 98.09
_cell_angle_gamma 90.00
_symmetry_space_group_name_H-M 'C 1 2/c 1'
_symmetry_Int_Tables_number 15
_symmetry_space_group_name_Hall '-C 2yc'
loop_
_atom_site_label
_atom_site_fract_x
_atom_site_fract_y
_atom_site_fract_z
_atom_site_occupancy
V1 0.000 0.094 0.250 1
V2 0.000 0.352 0.750 1
Ge1 0.071 0.134 0.937 1
Ge2 0.117 0.430 0.048 1
Ge3 0.249 0.326 0.645 1
W1 0.204 0.059 0.663 1


Entry 6:
# PBE V3GeW, relaxed
# Magnetization ... 0.0 μB/f.u.
# Polymorph energy (0 for the lowest one) ... 1198 meV/atom
# ΔH_f (0 K) ... 1.35 eV per atom
# E ... -7.63 eV per atom
data_V3GeW
_cell_length_a 4.583
_cell_length_b 4.583
_cell_length_c 4.583
_cell_angle_alpha 90.00
_cell_angle_beta 90.00
_cell_angle_gamma 90.00
_symmetry_space_group_name_H-M 'P m -3 m'
_symmetry_Int_Tables_number 221
_symmetry_space_group_name_Hall '-P 4 2 3'
loop_
_atom_site_label
_atom_site_fract_x
_atom_site_fract_y
_atom_site_fract_z
_atom_site_occupancy
V1 0.000 0.000 0.500 1
Ge1 0.500 0.500 0.500 1
W1 0.000 0.000 0.000 1


Entry 7:
# PBE V4Ge2W, relaxed
# Magnetization ... 0.0 μB/f.u.
# Polymorph energy (0 for the lowest one) ... 0 meV/atom
# ΔH_f (0 K) ... -0.13 eV per atom
# E ... -8.51 eV per atom
data_V4Ge2W
_cell_length_a 5.287
_cell_length_b 6.797
_cell_length_c 6.843
_cell_angle_alpha 112.26
_cell_angle_beta 106.90
_cell_angle_gamma 104.13
_symmetry_space_group_name_H-M 'P 1'
_symmetry_Int_Tables_number 1
_symmetry_space_group_name_Hall 'P 1'
loop_
_atom_site_label
_atom_site_fract_x
_atom_site_fract_y
_atom_site_fract_z
_atom_site_occupancy
V1 0.000 0.000 0.000 1
V2 0.079 0.282 0.447 1
V3 0.196 0.603 0.879 1
V4 0.322 0.132 0.730 1
V5 0.578 0.301 0.459 1
V6 0.683 0.577 0.875 1
V7 0.765 0.864 0.304 1
V8 0.885 0.432 0.148 1
Ge1 0.434 0.688 0.578 1
Ge2 0.537 0.041 0.069 1
Ge3 0.853 0.191 0.735 1
Ge4 0.936 0.697 0.571 1
W1 0.256 0.869 0.305 1
W2 0.385 0.428 0.149 1


Entry 8:
# PBE V3Ge2W, relaxed
# Magnetization ... 0.2 μB/f.u.
# ΔH_f (0 K) ... -0.15 eV per atom
# E ... -8.41 eV per atom
data_V3Ge2W
_cell_length_a 4.141
_cell_length_b 12.275
_cell_length_c 3.356
_cell_angle_alpha 90.00
_cell_angle_beta 90.00
_cell_angle_gamma 90.00
_symmetry_space_group_name_H-M 'C m m m'
_symmetry_Int_Tables_number 65
_symmetry_space_group_name_Hall '-C 2 2'
loop_
_atom_site_label
_atom_site_fract_x
_atom_site_fract_y
_atom_site_fract_z
_atom_site_occupancy
V1 0.000 0.000 0.000 1
V2 0.000 0.319 0.000 1
Ge1 0.000 0.157 0.500 1
W1 0.000 0.500 0.500 1